1.
# GGA-PBE YScTa, optimized geometry
data_YScTa
_cell_length_a 5.977
_cell_length_b 5.103
_cell_length_c 9.079
_cell_angle_alpha 90.00
_cell_angle_beta 90.00
_cell_angle_gamma 90.00
_symmetry_space_group_name_H-M 'A m m 2'
_symmetry_Int_Tables_number 38
loop_
_symmetry_equiv_pos_as_xyz
'x,y,z'
'-x,-y,z'
'-x,y,z'
'x,-y,z'
'x,y+1/2,z+1/2'
'-x,-y+1/2,z+1/2'
'-x,y+1/2,z+1/2'
'x,-y+1/2,z+1/2'
loop_
_atom_site_label
_atom_site_fract_x
_atom_site_fract_y
_atom_site_fract_z
Y1 0.000 0.000 0.000
Y2 0.000 0.000 0.328
Sc1 0.500 0.000 0.282
Sc2 0.500 0.000 0.954
Ta1 0.267 0.000 0.637
# E_form (eV/atom): 0.340
# Spin magnetization (μB per atom): 0.00
# DOS at the Fermi energy (states/eV/cell): 17.62
# Energy relative to the lowest polymorph listed for this composition (meV per atom): 104

2.
# GGA-PBE Y3ScTa, optimized geometry
data_Y3ScTa
_cell_length_a 5.478
_cell_length_b 5.478
_cell_length_c 5.478
_cell_angle_alpha 90.00
_cell_angle_beta 90.00
_cell_angle_gamma 90.00
_symmetry_space_group_name_H-M 'P m -3 m'
_symmetry_Int_Tables_number 221
_symmetry_space_group_name_Hall '-P 4 2 3'
loop_
_atom_site_label
_atom_site_fract_x
_atom_site_fract_y
_atom_site_fract_z
Y1 0.000 0.000 0.500
Sc1 0.500 0.500 0.500
Ta1 0.000 0.000 0.000
# E_form (eV/atom): 0.693
# Spin magnetization (μB per atom): 0.00
# DOS at the Fermi energy (states/eV/cell): 6.21
# Energy relative to the lowest polymorph listed for this composition (meV per atom): 0

spin magnetization of number 2 (Y3ScTa)?
0.00 μB per atom